[1]
A crystal of Ag3Pt2 relaxed with PBEsol. Source: Alexandria via LeMat-Bulk, functional SCAN.

```
5
Lattice="1.393 0.804 11.668 -1.393 0.804 11.668 0.000 -1.608 11.668" Properties=species:S:1:pos:R:3 pbc="T T T"
Ag 0.000 0.000 0.000
Ag 0.000 0.000 7.012
Ag 0.000 0.000 27.993
Pt 0.000 0.000 13.995
Pt 0.000 0.000 21.009
```

For the density, the calculation gives 15.1 g cm⁻³. The space-group type is No. 166. As for the relative energy among the computed polymorphs: 0 meV/atom. The value obtained for the energy of formation is -21 kJ/mol of formula units.

[2]
A crystal of Ag5Pt4 relaxed with PBEsol. Source: Alexandria via LeMat-Bulk, functional SCAN.

```
9
Lattice="6.082 -1.972 0.000 6.082 1.972 0.000 -1.976 0.000 5.887" Properties=species:S:1:pos:R:3 pbc="T T T"
Ag 0.000 0.000 0.000
Ag 0.039 0.000 3.906
Ag 4.081 0.000 3.957
Ag 6.106 0.000 1.930
Ag 10.148 0.000 1.981
Pt 2.072 0.000 1.959
Pt 2.018 0.000 5.862
Pt 8.170 0.000 0.025
Pt 8.116 0.000 3.928
```

For the density, the calculation gives 15.5 g cm⁻³. The space-group type is No. 12. As for the relative energy among the computed polymorphs: 12 meV/atom. The value obtained for the energy of formation is 14 kJ/mol of formula units.

[3]
A crystal of Ag5Pt7 relaxed with PBEsol. Source: Alexandria via LeMat-Bulk, functional SCAN.

```
12
Lattice="2.771 -8.415 0.000 2.771 8.415 0.000 0.000 0.000 3.992" Properties=species:S:1:pos:R:3 pbc="T T T"
Ag 0.000 0.000 0.000
Ag 1.386 4.207 1.996
Ag 2.771 5.596 0.000
Ag 1.386 -4.207 1.996
Ag 2.771 -5.596 0.000
Pt 1.415 1.385 1.996
Pt 1.415 -1.385 1.996
Pt 2.771 2.719 0.000
Pt 2.771 0.000 0.000
Pt 2.771 -2.719 0.000
Pt 4.128 1.385 1.996
Pt 4.128 -1.385 1.996
```

For the density, the calculation gives 17.0 g cm⁻³. The space-group type is No. 65. As for the relative energy among the computed polymorphs: 52 meV/atom. The value obtained for the energy of formation is 64 kJ/mol of formula units.

[4]
A crystal of Ag4Pt5 relaxed with PBEsol. Source: Alexandria via LeMat-Bulk, functional SCAN.

```
9
Lattice="4.408 -1.960 0.000 4.408 1.960 0.000 -2.597 0.000 8.090" Properties=species:S:1:pos:R:3 pbc="T T T"
Ag 0.000 0.000 0.000
Ag -0.862 0.000 2.692
Ag 2.658 0.000 0.906
Ag 3.549 0.000 7.215
Pt 1.747 0.000 3.631
Pt 0.908 0.000 6.238
Pt 4.401 0.000 4.532
Pt 5.323 0.000 1.878
Pt 7.053 0.000 5.362
```

For the density, the calculation gives 16.7 g cm⁻³. The space-group type is No. 8. As for the relative energy among the computed polymorphs: 7 meV/atom. The value obtained for the energy of formation is 34 kJ/mol of formula units.

[5]
A crystal of Ag5Pt2 relaxed with PBEsol. Source: Alexandria via LeMat-Bulk, functional SCAN.

```
7
Lattice="4.487 -2.011 0.000 4.487 2.011 0.000 -0.790 0.000 6.200" Properties=species:S:1:pos:R:3 pbc="T T T"
Ag 0.000 0.000 0.000
Ag 0.967 0.000 2.660
Ag 3.639 0.000 1.759
Ag 4.544 0.000 4.440
Ag 7.216 0.000 3.540
Pt 1.860 0.000 5.347
Pt 6.323 0.000 0.853
```

For the density, the calculation gives 13.8 g cm⁻³. The space-group type is No. 12. The value obtained for the energy of formation is 11 kJ/mol of formula units.

[6]
A crystal of AgPt4 relaxed with PBEsol. Source: Alexandria via LeMat-Bulk, functional SCAN.

```
5
Lattice="1.376 0.794 11.579 -1.376 0.794 11.579 0.000 -1.589 11.579" Properties=species:S:1:pos:R:3 pbc="T T T"
Ag 0.000 0.000 0.000
Pt 0.000 0.000 6.931
Pt 0.000 0.000 13.931
Pt 0.000 0.000 20.805
Pt 0.000 0.000 27.806
```

For the density, the calculation gives 19.4 g cm⁻³. The space-group type is No. 166. As for the relative energy among the computed polymorphs: 0 meV/atom. The value obtained for the energy of formation is 13 kJ/mol of formula units.

[7]
A crystal of RbAg3Pt relaxed with PBEsol. Source: Alexandria via LeMat-Bulk, functional SCAN.

```
5
Lattice="5.135 0.000 0.000 0.000 5.135 0.000 0.000 0.000 5.135" Properties=species:S:1:pos:R:3 pbc="T T T"
Rb 0.000 0.000 0.000
Ag 0.000 2.568 2.568
Ag 2.568 0.000 2.568
Ag 2.568 2.568 0.000
Pt 2.568 2.568 2.568
```

For the density, the calculation gives 7.4 g cm⁻³. The space-group type is No. 221. The value obtained for the energy of formation is 150 kJ/mol of formula units.

[8]
A crystal of Rb2TiAgPt relaxed with PBEsol. Source: Alexandria via LeMat-Bulk, functional SCAN.

```
5
Lattice="5.897 0.000 0.000 0.000 5.897 0.000 0.000 0.000 5.197" Properties=species:S:1:pos:R:3 pbc="T T T"
Rb 0.000 2.949 0.000
Rb 2.949 0.000 0.000
Ti 0.000 0.000 2.598
Ag 0.000 0.000 0.000
Pt 2.949 2.949 2.598
```

For the density, the calculation gives 4.8 g cm⁻³. The space-group type is No. 123. The value obtained for the energy of formation is 495 kJ/mol of formula units.

[9]
A crystal of Re2AgPt relaxed with PBEsol. Source: Alexandria via LeMat-Bulk, functional SCAN.

```
4
Lattice="2.729 0.000 0.000 0.000 3.941 0.000 -0.099 0.000 5.597" Properties=species:S:1:pos:R:3 pbc="T T T"
Re 0.000 0.000 0.000
Re 1.161 1.970 1.222
Ag 2.575 0.000 2.739
Pt 1.192 1.970 4.128
```

For the density, the calculation gives 18.6 g cm⁻³. The space-group type is No. 6. As for the relative energy among the computed polymorphs: 0 meV/atom. The value obtained for the energy of formation is 91 kJ/mol of formula units.

[10]
A crystal of ReAgPt2 relaxed with PBEsol. Source: Alexandria via LeMat-Bulk, functional SCAN.

```
4
Lattice="2.754 0.000 0.000 0.000 2.754 0.000 0.000 0.000 7.977" Properties=species:S:1:pos:R:3 pbc="T T T"
Re 0.000 0.000 0.000
Ag 0.000 0.000 3.988
Pt 1.377 1.377 1.863
Pt 1.377 1.377 6.113
```

For the density, the calculation gives 18.8 g cm⁻³. The space-group type is No. 123. As for the relative energy among the computed polymorphs: 0 meV/atom. The value obtained for the energy of formation is -45 kJ/mol of formula units.

[11]
A crystal of ReAgPt2 relaxed with PBEsol. Source: Alexandria via LeMat-Bulk, functional SCAN.

```
4
Lattice="2.741 0.000 0.000 0.000 2.741 0.000 0.000 0.000 8.043" Properties=species:S:1:pos:R:3 pbc="T T T"
Re 0.000 0.000 0.000
Ag 1.370 1.370 2.106
Pt 0.000 0.000 4.172
Pt 1.370 1.370 6.214
```

For the density, the calculation gives 18.8 g cm⁻³. The space-group type is No. 99. As for the relative energy among the computed polymorphs: 262 meV/atom. The value obtained for the energy of formation is 56 kJ/mol of formula units.

[12]
A crystal of ReAgPt2 relaxed with PBEsol. Source: Alexandria via LeMat-Bulk, functional SCAN.

```
4
Lattice="-1.349 2.194 5.536 1.349 -2.194 5.536 1.349 2.194 -5.536" Properties=species:S:1:pos:R:3 pbc="T T T"
Re 0.000 0.000 0.000
Ag 1.349 0.000 2.556
Pt 0.000 0.000 6.291
Pt 0.000 2.194 3.400
```

For the density, the calculation gives 17.3 g cm⁻³. The space-group type is No. 44. As for the relative energy among the computed polymorphs: 245 meV/atom. The value obtained for the energy of formation is 49 kJ/mol of formula units.

Question: What is the formula in the ninth record?
Answer: Re2AgPt